First-principles (PBE-GGA) data for a relaxed KTlSe crystal, as listed in Alexandria via LeMat-Bulk.

Output
The calculation puts the formation energy (no corrections) at -765 meV/atom. The value obtained for the relative energy among the computed polymorphs is 0.000 eV per atom. Its symmetry is P2_1/m, No. 11.

Cell: 4.7226 6.3651 7.8188 Å, 112.73 90.00 90.00°
Last column: nearest neighbours and their distance in Å.
Element x y z (fractional)
K: 0.7500 0.2156 0.9101  4 Se 3.29-3.34
K: 0.2500 0.7844 0.0899  4 Se 3.29-3.34
Tl: 0.2500 0.7745 0.5709  3 Se 2.98-3.10
Tl: 0.7500 0.2255 0.4291  3 Se 2.98-3.10
Se: 0.7500 0.6496 0.7716  3 Tl 2.98-3.10, 3 K 3.29-3.33
Se: 0.2500 0.3504 0.2284  3 Tl 2.98-3.10, 3 K 3.29-3.33

***

First-principles (PBE-GGA) data for a relaxed BaNb3NO7 crystal, as listed in Alexandria via LeMat-Bulk.

Output
The calculation puts the formation energy (no corrections) at -2412 meV/atom. The value obtained for the relative energy among the computed polymorphs is 0.003 eV per atom. Its symmetry is Cm, No. 8.

Cell: 10.7720 10.7720 9.1183 Å, 88.86 88.86 20.73°
Last column: nearest neighbours and their distance in Å.
Element x y z (fractional)
Ba: 0.9804 0.9804 0.7521  4 O 2.70-2.76, 2 N 2.86
Ba: 0.0174 0.0174 0.2467  6 O 2.71-2.81
Nb: 0.6270 0.6270 0.9255  3 O 1.85-2.04, 1 N 1.93
Nb: 0.2412 0.2412 0.7516  4 O 1.83-2.03
Nb: 0.6321 0.6321 0.5558  4 O 1.84-2.05, 1 N 2.05
Nb: 0.3693 0.3693 0.4395  4 O 1.83-2.01
Nb: 0.7591 0.7591 0.2381  2 O 1.81-1.90
Nb: 0.3672 0.3672 0.0615  1 O 1.84, 2 N 2.03
N: 0.5797 0.5797 0.7467  2 Nb 1.93-2.05
N: 0.8435 0.8435 0.0974  3 Nb 2.03-2.18
O: 0.4349 0.4349 0.9313  1 Nb 1.84
O: 0.1557 0.1557 0.9060  3 Nb 2.04-2.27
O: 0.2979 0.2979 0.9000  1 Nb 1.83
O: 0.7134 0.7134 0.7501  2 Nb 2.03
O: 0.2971 0.2971 0.5936  2 Nb 1.85-2.06
O: 0.1553 0.1553 0.5903  2 Nb 2.03
O: 0.4346 0.4346 0.5673  1 Nb 1.83
O: 0.5680 0.5680 0.4232  1 Nb 1.84
O: 0.8506 0.8506 0.4154  2 Nb 1.99
O: 0.7071 0.7071 0.4108  2 Nb 1.90-2.05
O: 0.2875 0.2875 0.2602  2 Nb 2.04
O: 0.4214 0.4214 0.2534  2 Nb 2.01-2.11
O: 0.7012 0.7012 0.0948  1 Nb 1.81
O: 0.5632 0.5632 0.0665  1 Nb 1.85

***

First-principles (PBE-GGA) data for a relaxed Ba4TeSeBr2 crystal, as listed in Alexandria via LeMat-Bulk.

Output
The calculation puts the formation energy (no corrections) at -1763 meV/atom. Its symmetry is P2/m, No. 10.

Cell: 4.8170 8.2512 8.3806 Å, 70.38 90.00 90.00°
Last column: nearest neighbours and their distance in Å.
Element x y z (fractional)
Ba: 0.0000 0.7328 0.7671  2 Se 3.28, 3 Br 3.40-3.52, 1 Te 3.40
Ba: 0.0000 0.2672 0.2329  2 Se 3.28, 3 Br 3.40-3.52, 1 Te 3.40
Ba: 0.5000 0.7408 0.2411  1 Se 3.27, 3 Br 3.40-3.52, 2 Te 3.40
Ba: 0.5000 0.2592 0.7589  1 Se 3.27, 3 Br 3.40-3.52, 2 Te 3.40
Te: 0.0000 0.5000 0.5000  6 Ba 3.40
Se: 0.5000 0.5000 0.0000  6 Ba 3.27-3.28
Br: 0.0000 0.0000 0.0000  6 Ba 3.40
Br: 0.5000 0.0000 0.5000  6 Ba 3.52

***

First-principles (PBE-GGA) data for a relaxed In2MoHPt crystal, as listed in Alexandria via LeMat-Bulk.

Output
Its total energy is -24.83 eV for the cell shown. Its symmetry is P4/mmm, No. 123.

Cell: 4.6273 3.5879 4.6273 Å, 90.00 90.00 90.00°
Last column: nearest neighbours and their distance in Å.
Element x y z (fractional)
H: 0.0000 0.0000 0.0000  2 Pt 1.79
Mo: 0.5000 0.5000 0.5000  8 In 2.93, 4 Pt 3.27
Pt: 0.0000 0.5000 0.0000  2 H 1.79
In: 0.0000 0.0000 0.5000  2 H 2.31
In: 0.5000 0.0000 0.0000  2 H 2.31

***

First-principles (PBE-GGA) data for a relaxed BaBiAsRh crystal, as listed in Alexandria via LeMat-Bulk.

Output
The value obtained for the energy relative to the elements is -0.685 eV/atom. Its symmetry is P4/nmm, No. 129.

Cell: 4.4454 4.4454 11.5846 Å, 90.00 90.00 90.00°
Last column: nearest neighbours and their distance in Å.
Element x y z (fractional)
Ba: 0.7500 0.7500 0.2415  4 As 3.54, 4 Rh 3.57, 4 Bi 3.73
Ba: 0.2500 0.2500 0.7585  4 As 3.54, 4 Rh 3.57, 4 Bi 3.73
Bi: 0.2500 0.7500 0.5000  4 Bi 3.14
Bi: 0.7500 0.2500 0.5000  4 Bi 3.14
As: 0.7500 0.7500 0.8989  4 Rh 2.51
As: 0.2500 0.2500 0.1011  4 Rh 2.51
Rh: 0.7500 0.2500 0.0000  4 As 2.51
Rh: 0.2500 0.7500 0.0000  4 As 2.51

***

First-principles (PBE-GGA) data for a relaxed K2GdI4 crystal, as listed in Alexandria via LeMat-Bulk.

Output
The calculation puts the formation energy (no corrections) at -1277 meV/atom. Its symmetry is I4/mmm, No. 139.

Cell: 6.1282 6.1282 9.9960 Å, 72.15 72.15 90.00°
Last column: nearest neighbours and their distance in Å.
Element x y z (fractional)
I: 0.8263 0.8263 0.3473  1 Gd 3.13, 1 K 3.44
I: 0.1737 0.1737 0.6527  1 Gd 3.13, 1 K 3.44
I: 0.0000 0.5000 0.0000  2 Gd 3.06
I: 0.5000 0.0000 0.0000  2 Gd 3.06
K: 0.6352 0.6352 0.7296  1 I 3.44
K: 0.3648 0.3648 0.2704  1 I 3.44
Gd: 0.0000 0.0000 0.0000  6 I 3.06-3.13

***

First-principles (PBE-GGA) data for a relaxed Dy2Be4NiIr3 crystal, as listed in Alexandria via LeMat-Bulk.

Output
The value obtained for the energy relative to the elements is -0.625 eV/atom. Its symmetry is P-4m2, No. 115.

Cell: 3.9208 3.9208 9.3791 Å, 90.00 90.00 90.00°
Last column: nearest neighbours and their distance in Å.
Element x y z (fractional)
Dy: 0.5000 0.0000 0.2528  6 Ir 3.00-3.04, 8 Be 3.02-3.08, 2 Ni 3.04
Dy: 0.0000 0.5000 0.7472  6 Ir 3.00-3.04, 8 Be 3.02-3.08, 2 Ni 3.04
Be: 0.5000 0.5000 0.0000  4 Ir 2.31
Be: 0.0000 0.0000 0.0000  4 Ir 2.31
Be: 0.5000 0.0000 0.6207  2 Ni 2.26, 3 Ir 2.26-2.34
Be: 0.0000 0.5000 0.3793  2 Ni 2.26, 3 Ir 2.26-2.34
Ni: 0.5000 0.5000 0.5000  4 Be 2.26
Ir: 0.0000 0.0000 0.5000  4 Be 2.26
Ir: 0.5000 0.0000 0.8700  5 Be 2.31-2.34
Ir: 0.0000 0.5000 0.1300  5 Be 2.31-2.34

***

First-principles (PBE-GGA) data for a relaxed Li2LaCr crystal, as listed in Alexandria via LeMat-Bulk.

Output
The value obtained for the energy relative to the elements is 0.507 eV/atom. The value obtained for the relative energy among the computed polymorphs is 0.155 eV per atom. Its symmetry is Cmmm, No. 65.

Cell: 5.5063 5.5063 3.2100 Å, 90.00 90.00 113.54°
Last column: nearest neighbours and their distance in Å.
Element x y z (fractional)
Cr: 0.5000 0.0000 0.5000  2 La 3.02, 8 Li 3.19, 2 Cr 3.21
La: 0.0000 0.5000 0.5000  2 Cr 3.02, 8 Li 3.19, 2 La 3.21
Li: 0.0000 0.0000 0.0000  4 Li 3.02-3.21, 4 La 3.19, 4 Cr 3.19
Li: 0.5000 0.5000 0.0000  4 Li 3.02-3.21, 4 Cr 3.19, 4 La 3.19

***

First-principles (PBE-GGA) data for a relaxed LiLa2ErSe4 crystal, as listed in Alexandria via LeMat-Bulk.

Output
The calculation puts the formation energy (no corrections) at -1808 meV/atom. Its symmetry is P2/m, No. 10.

Cell: 4.1778 7.2341 7.1937 Å, 109.52 90.00 90.00°
Last column: nearest neighbours and their distance in Å.
Element x y z (fractional)
Li: 0.5000 0.5000 0.0000  6 Se 2.84-2.86
La: 0.5000 0.0000 0.5000  6 Se 3.04-3.06
La: 0.0000 0.5000 0.5000  6 Se 3.03
Er: 0.0000 0.0000 0.0000  6 Se 2.87
Se: 0.5000 0.2457 0.2268  1 Li 2.84, 2 Er 2.87, 3 La 3.03-3.06
Se: 0.5000 0.7543 0.7732  1 Li 2.84, 2 Er 2.87, 3 La 3.03-3.06
Se: 0.0000 0.2581 0.7722  2 Li 2.86, 1 Er 2.87, 3 La 3.03-3.04
Se: 0.0000 0.7419 0.2278  2 Li 2.86, 1 Er 2.87, 3 La 3.03-3.04

***

First-principles (PBE-GGA) data for a relaxed Rb2Tl5Pb2 crystal, as listed in Alexandria via LeMat-Bulk.

Output
The value obtained for the energy relative to the elements is -0.046 eV/atom. Its symmetry is C2/c, No. 15.

Cell: 9.5551 9.4935 9.4935 Å, 125.72 88.93 91.07°
Last column: nearest neighbours and their distance in Å.
Element x y z (fractional)
Rb: 0.0438 0.7922 0.2299  6 Tl 3.68-3.94, 1 Rb 4.10
Rb: 0.5438 0.2701 0.7078  6 Tl 3.68-3.94, 1 Rb 4.10
Rb: 0.9562 0.2078 0.7701  6 Tl 3.68-3.94, 1 Rb 4.10
Rb: 0.4562 0.7299 0.2922  6 Tl 3.68-3.94, 1 Rb 4.10
Tl: 0.0000 0.0000 0.0000  4 Tl 3.33-3.54, 2 Pb 3.39
Tl: 0.5000 0.5000 0.5000  4 Tl 3.33-3.54, 2 Pb 3.39
Tl: 0.1944 0.2966 0.5211  3 Pb 3.23-3.31, 2 Tl 3.46-3.54
Tl: 0.8273 0.6247 0.8169  3 Pb 3.29-3.59, 2 Tl 3.33-3.46
Tl: 0.6944 0.9789 0.2034  3 Pb 3.23-3.31, 2 Tl 3.46-3.54
Tl: 0.3273 0.6831 0.8753  3 Pb 3.29-3.59, 2 Tl 3.33-3.46
Tl: 0.8056 0.7034 0.4789  3 Pb 3.23-3.31, 2 Tl 3.46-3.54
Tl: 0.1727 0.3753 0.1831  3 Pb 3.29-3.59, 2 Tl 3.33-3.46
Tl: 0.3056 0.0211 0.7966  3 Pb 3.23-3.31, 2 Tl 3.46-3.54
Tl: 0.6727 0.3169 0.1247  3 Pb 3.29-3.59, 2 Tl 3.33-3.46
Pb: 0.3866 0.0983 0.1738  7 Tl 3.23-3.59, 1 Pb 3.43
Pb: 0.6134 0.9017 0.8262  7 Tl 3.23-3.59, 1 Pb 3.43
Pb: 0.8866 0.3262 0.4017  7 Tl 3.23-3.59, 1 Pb 3.43
Pb: 0.1134 0.6738 0.5983  7 Tl 3.23-3.59, 1 Pb 3.43

***

First-principles (PBE-GGA) data for a relaxed Cu2HPt crystal, as listed in Alexandria via LeMat-Bulk.

Output
The value obtained for the relative energy among the computed polymorphs is 0.131 eV per atom. Its symmetry is I-42d, No. 122.

Cell: 5.5616 5.5616 4.8689 Å, 55.17 55.17 90.00°
Last column: nearest neighbours and their distance in Å.
Element x y z (fractional)
H: 0.5000 0.5000 0.0000  4 Cu 1.70
H: 0.2500 0.7500 0.5000  4 Cu 1.70
Cu: 0.4959 0.1250 0.2500  2 H 1.70
Cu: 0.2541 0.6250 0.2500  2 H 1.70
Cu: 0.3750 0.5041 0.7500  2 H 1.70
Cu: 0.8750 0.7459 0.7500  2 H 1.70
Pt: 0.0000 0.0000 0.0000  8 Cu 2.63-2.65, 2 H 2.87
Pt: 0.7500 0.2500 0.5000  8 Cu 2.63-2.65, 2 H 2.87

***

First-principles (PBE-GGA) data for a relaxed Rb2Mn2Zn crystal, as listed in Alexandria via LeMat-Bulk.

Output
The value obtained for the energy relative to the elements is 1.201 eV/atom. The value obtained for the relative energy among the computed polymorphs is 0.261 eV per atom. Its symmetry is P4/mbm, No. 127.

Cell: 10.3039 10.3039 3.0710 Å, 90.00 90.00 90.00°
Last column: nearest neighbours and their distance in Å.
Element x y z (fractional)
Zn: 0.0000 0.0000 0.0000  2 Zn 3.07
Zn: 0.5000 0.5000 0.0000  2 Zn 3.07
Mn: 0.4361 0.9361 0.0000  1 Mn 1.86
Mn: 0.9361 0.5639 0.0000  1 Mn 1.86
Mn: 0.5639 0.0639 0.0000  1 Mn 1.86
Mn: 0.0639 0.4361 0.0000  1 Mn 1.86
Rb: 0.2119 0.7119 0.5000  2 Rb 3.07
Rb: 0.7119 0.7881 0.5000  2 Rb 3.07
Rb: 0.7881 0.2881 0.5000  2 Rb 3.07
Rb: 0.2881 0.2119 0.5000  2 Rb 3.07